Na2In2Hg2Pb after structural relaxation. Source: Alexandria, functional PBE.

Cell: 5.0888 5.0888 25.5381 Å, 90.00 90.00 120.00°
Space group R-3m (No. 166, hexagonal axes)
Inequivalent atoms, fractional coordinates:
Na: 0.0000 0.0000 0.1367
In: 0.0000 0.0000 0.2766
Hg: 0.0000 0.0000 0.4316
Pb: 0.0000 0.0000 0.0000

Results
**Total magnetic moment**: 0.000 μB/f.u.
**Formation energy**: -103 meV per atom

***

La6PrSm3 after structural relaxation. Source: Alexandria, functional PBE.

Cell: 10.7892 10.7892 10.7572 Å, 90.00 90.00 120.00°
Space group R3m (No. 160, hexagonal axes)
Inequivalent atoms, fractional coordinates:
La: 0.2006 0.4012 0.0000
La: 0.2059 0.4118 0.6264
Pr: 0.0000 0.0000 0.1663
Sm: 0.2171 0.4343 0.3084

Results
**Total magnetic moment**: 0.001 μB/f.u.
**Relative energy among the computed polymorphs**: 4.265 kcal/mol of atoms
**Formation energy**: 371 meV per atom

***

K2Pm2HfSe6 after structural relaxation. Source: Alexandria, functional PBE.

Cell: 7.235 12.374 8.233 Å, 90.00 107.52 90.00°
Space group C2/m (No. 12)
Inequivalent atoms, fractional coordinates:
K: 0.000 0.172 0.000
Pm: 0.000 0.333 0.500
Hf: 0.000 0.000 0.500
Se: 0.224 0.155 0.701
Se: 0.238 0.000 0.301

Results
**Total magnetic moment**: 0.000 μB/f.u.
**Energy relative to the elements, uncorrected**: -1.64 eV per atom

***

Raw total energy (eV for the cell shown)
-39.44; -134.39; -121.11